# FeP2PtO

An optimized crystal structure of FeP2PtO (PBE+U, Alexandria).

```
data_FeP2PtO
_chemical_formula_sum 'Fe1 P2 Pt1 O1'
_space_group_name_H-M_alt 'P 4/m m m'
_space_group_IT_number 123
_space_group_name_Hall '-P 4 2'
_cell_length_a 4.5751
_cell_length_b 4.5751
_cell_length_c 3.2895
_cell_angle_alpha 90.00
_cell_angle_beta 90.00
_cell_angle_gamma 90.00
loop_
_atom_site_label
_atom_site_type_symbol
_atom_site_fract_x
_atom_site_fract_y
_atom_site_fract_z
_atom_site_occupancy
Fe1 Fe 0.0000 0.0000 0.0000 1
P1 P 0.0000 0.5000 0.0000 1
Pt1 Pt 0.5000 0.5000 0.5000 1
O1 O 0.0000 0.0000 0.5000 1
```

Results
As for the total energy: -24.58 eV per cell. The value obtained for the energy above the lowest structure with this stoichiometry is 0.000 eV per atom. The spin magnetization is 0.00 μB/f.u.